[1]
A plane-wave DFT calculation with PBE was carried out for a relaxed structure of Na2TaAl2Os2W. Values from VASP.

```
&SYSTEM
  ibrav = 0, nat = 8, ntyp = 5
/
ATOMIC_SPECIES
Al 26.98 Al.upf
Na 22.99 Na.upf
Os 190.23 Os.upf
Ta 180.95 Ta.upf
W 183.84 W.upf
CELL_PARAMETERS angstrom
-3.4671 -2.5927 1.0465
2.1185 -1.3483 3.6786
-2.5788 4.7510 3.2266
ATOMIC_POSITIONS angstrom
Al -0.6743 -1.9705 2.3625
Al -1.2894 2.3755 1.6133
Na -2.3795 -0.1064 1.3314
Na -0.8737 2.8869 4.2577
Os 0.3926 0.5541 2.6734
Os -3.6457 2.2264 2.9157
Ta 0.0000 0.0000 0.0000
W -1.9637 0.4050 3.9758
```

Results
The calculation puts the uncorrected energy at -6.99 eV/atom. For the spin magnetization, the calculation gives 0.00 μB per formula unit.

***

[2]
A plane-wave DFT calculation with PBE was carried out for a relaxed structure of NaAlTeOs. Values from VASP.

```
&SYSTEM
  ibrav = 0, nat = 4, ntyp = 4
/
ATOMIC_SPECIES
Al 26.98 Al.upf
Na 22.99 Na.upf
Os 190.23 Os.upf
Te 127.60 Te.upf
CELL_PARAMETERS angstrom
0.0000 3.3254 3.3254
3.3254 0.0000 3.3254
3.3254 3.3254 0.0000
ATOMIC_POSITIONS angstrom
Al 1.6627 1.6627 1.6627
Na 4.9881 4.9881 4.9881
Os 0.0000 0.0000 0.0000
Te 3.3254 3.3254 3.3254
```

Results
The calculation puts the uncorrected energy at -4.22 eV/atom. Its distance to the lowest polymorph of the same formula is 397 meV per atom. For the spin magnetization, the calculation gives 0.03 μB per formula unit.

***

[3]
A plane-wave DFT calculation with PBE was carried out for a relaxed structure of NaAlTeOs. Values from VASP.

```
&SYSTEM
  ibrav = 0, nat = 4, ntyp = 4
/
ATOMIC_SPECIES
Al 26.98 Al.upf
Na 22.99 Na.upf
Os 190.23 Os.upf
Te 127.60 Te.upf
CELL_PARAMETERS angstrom
1.7498 -4.2053 1.2217
-1.4563 -3.8958 -2.2228
2.9181 -2.2785 -2.9209
ATOMIC_POSITIONS angstrom
Al 1.6058 -5.1898 -1.9610
Na 2.4087 -7.7847 -2.9415
Os 0.0000 0.0000 0.0000
Te 0.8029 -2.5949 -0.9805
```

Results
The calculation puts the uncorrected energy at -4.10 eV/atom. Its distance to the lowest polymorph of the same formula is 513 meV per atom. For the spin magnetization, the calculation gives 0.01 μB per formula unit.

***

[4]
A plane-wave DFT calculation with PBE was carried out for a relaxed structure of NaAlTeOs. Values from VASP.

```
&SYSTEM
  ibrav = 0, nat = 4, ntyp = 4
/
ATOMIC_SPECIES
Al 26.98 Al.upf
Na 22.99 Na.upf
Os 190.23 Os.upf
Te 127.60 Te.upf
CELL_PARAMETERS angstrom
-0.4661 -3.1743 3.3373
-4.2109 -1.5247 1.1725
-1.2806 -4.3171 -1.0742
ATOMIC_POSITIONS angstrom
Al 0.0000 0.0000 0.0000
Na -4.4682 -6.7621 2.5767
Os -1.4894 -2.2540 0.8589
Te -2.9788 -4.5080 1.7178
```

Results
The calculation puts the uncorrected energy at -4.61 eV/atom. Its distance to the lowest polymorph of the same formula is 0 meV per atom. For the spin magnetization, the calculation gives 0.00 μB per formula unit.

***

[5]
A plane-wave DFT calculation with PBE was carried out for a relaxed structure of NaAlOsW. Values from VASP.

```
&SYSTEM
  ibrav = 0, nat = 4, ntyp = 4
/
ATOMIC_SPECIES
Al 26.98 Al.upf
Na 22.99 Na.upf
Os 190.23 Os.upf
W 183.84 W.upf
CELL_PARAMETERS angstrom
3.4055 -0.8479 2.7245
2.8982 3.2154 1.0007
0.0622 1.7416 4.0868
ATOMIC_POSITIONS angstrom
Al 3.1829 2.0546 3.9060
Na 4.7743 3.0818 5.8590
Os 0.0000 0.0000 0.0000
W 1.5914 1.0273 1.9530
```

Results
The calculation puts the uncorrected energy at -6.88 eV/atom. Its distance to the lowest polymorph of the same formula is 175 meV per atom. For the spin magnetization, the calculation gives 0.00 μB per formula unit.

***

[6]
A plane-wave DFT calculation with PBE was carried out for a relaxed structure of NaAlOsW. Values from VASP.

```
&SYSTEM
  ibrav = 0, nat = 4, ntyp = 4
/
ATOMIC_SPECIES
Al 26.98 Al.upf
Na 22.99 Na.upf
Os 190.23 Os.upf
W 183.84 W.upf
CELL_PARAMETERS angstrom
0.0000 3.1229 3.1229
3.1229 0.0000 3.1229
3.1229 3.1229 0.0000
ATOMIC_POSITIONS angstrom
Al 0.0000 0.0000 0.0000
Na 4.6843 4.6843 4.6843
Os 1.5614 1.5614 1.5614
W 3.1229 3.1229 3.1229
```

Results
The calculation puts the uncorrected energy at -7.06 eV/atom. Its distance to the lowest polymorph of the same formula is 0 meV per atom. For the spin magnetization, the calculation gives 0.00 μB per formula unit.

***

> Which of these has the highest uncorrected energy?

number 3

***

> Look up the uncorrected energy of the third one.

-4.10 eV/atom

***

> Which of these has the highest spin magnetization?

number 2

***

> What is the formula in the second record?

NaAlTeOs